Record 1
Material: CuIr2W
Method: DFT, SCAN
State: PBEsol geometry

Volume: 56 Å³ per cell
Offset from the most stable computed form: 0.0000 eV/atom
Size of the total moment: 0.00 μB/f.u.
SG: Cm (8)
Crystal system: monoclinic

Geometry as POSCAR:
```
CuIr2W
1.0
4.512 -1.351 0.000
4.512 1.351 0.000
-0.789 0.000 4.593
Cu Ir W
1 2 1
direct
0.000 0.000 0.000 Cu
0.488 0.488 0.504 Ir
0.752 0.752 0.220 Ir
0.241 0.241 0.725 W
```

---

Record 2
Material: LiB2Ru2
Method: DFT, SCAN
State: PBEsol geometry

Volume: 95 Å³ per cell
E_tot: -17.764 eV per atom
Size of the total moment: 0.00 μB/f.u.
SG: P4/mbm (127)
Crystal system: tetragonal

Geometry as POSCAR:
```
LiB2Ru2
1.0
5.759 0.000 0.000
0.000 5.759 0.000
0.000 0.000 2.854
Li B Ru
2 4 4
direct
0.000 0.000 0.000 Li
0.500 0.500 0.000 Li
0.120 0.380 0.000 B
0.380 0.880 0.000 B
0.620 0.120 0.000 B
0.880 0.620 0.000 B
0.170 0.670 0.500 Ru
0.330 0.170 0.500 Ru
0.670 0.830 0.500 Ru
0.830 0.330 0.500 Ru
```

---

Record 3
Material: SbTeS2Cl
Method: DFT, SCAN
State: PBEsol geometry

Volume: 127 Å³ per cell
E_tot: -19.991 eV per atom
Size of the total moment: 0.00 μB/f.u.
SG: P4/mmm (123)
Crystal system: tetragonal

Geometry as POSCAR:
```
SbTeS2Cl
1.0
5.082 0.000 0.000
0.000 5.082 0.000
0.000 0.000 4.931
Sb Te S Cl
1 1 2 1
direct
0.000 0.000 0.000 Sb
0.500 0.500 0.500 Te
0.000 0.500 0.000 S
0.500 0.000 0.000 S
0.000 0.000 0.500 Cl
```

---

Record 4
Material: ZnIn2SnAs4
Method: DFT, SCAN
State: PBEsol geometry

Volume: 212 Å³ per cell
E_tot: -24.869 eV per atom
Size of the total moment: 0.00 μB/f.u.
SG: I-42m (121)
Crystal system: tetragonal

Geometry as POSCAR:
```
ZnIn2SnAs4
1.0
-2.980 2.980 5.981
2.980 -2.980 5.981
2.980 2.980 -5.981
Zn In Sn As
1 2 1 4
direct
0.000 0.000 0.000 Zn
0.250 0.750 0.500 In
0.750 0.250 0.500 In
0.500 0.500 0.000 Sn
0.119 0.119 0.476 As
0.357 0.881 0.000 As
0.643 0.643 0.524 As
0.881 0.357 0.000 As
```

---

Record 5
Material: LiRe2P
Method: DFT, SCAN
State: PBEsol geometry

Volume: 53 Å³ per cell
E_tot: -38.421 eV per atom
Size of the total moment: 0.00 μB/f.u.
SG: C2/m (12)
Crystal system: monoclinic

Geometry as POSCAR:
```
LiRe2P
1.0
2.696 -4.126 0.000
2.696 4.126 0.000
-1.243 0.000 2.381
Li Re P
1 2 1
direct
0.000 0.000 0.000 Li
0.000 0.500 0.500 Re
0.500 0.000 0.500 Re
0.500 0.500 0.000 P
```

---

Record 6
Material: BeNb2NiBi
Method: DFT, SCAN
State: PBEsol geometry

Volume: 115 Å³ per cell
E_tot: -31.028 eV per atom
Size of the total moment: 3.39 μB/f.u.
SG: P4/mmm (123)
Crystal system: tetragonal

Geometry as POSCAR:
```
BeNb2NiBi
1.0
5.185 0.000 0.000
0.000 5.185 0.000
0.000 0.000 4.260
Be Nb Ni Bi
1 2 1 1
direct
0.000 0.000 0.000 Be
0.000 0.500 0.500 Nb
0.500 0.000 0.500 Nb
0.500 0.500 0.000 Ni
0.000 0.000 0.500 Bi
```

---

Record 7
Material: Mg2CO
Method: DFT, SCAN
State: PBEsol geometry

Volume: 43 Å³ per cell
E_tot: -6.698 eV per atom
Size of the total moment: 2.00 μB/f.u.
SG: Fm-3m (225)
Crystal system: cubic

Geometry as POSCAR:
```
Mg2CO
1.0
0.000 2.776 2.776
2.776 0.000 2.776
2.776 2.776 0.000
Mg C O
2 1 1
direct
0.250 0.250 0.250 Mg
0.750 0.750 0.750 Mg
0.000 0.000 0.000 C
0.500 0.500 0.500 O
```

---

Record 8
Material: ZnSiTe2
Method: DFT, SCAN
State: PBEsol geometry

Volume: 92 Å³ per cell
Offset from the most stable computed form: 0.0000 eV/atom
Size of the total moment: 0.00 μB/f.u.
SG: P4/mmm (123)
Crystal system: tetragonal

Geometry as POSCAR:
```
ZnSiTe2
1.0
4.018 0.000 0.000
0.000 4.018 0.000
0.000 0.000 5.690
Zn Si Te
1 1 2
direct
0.000 0.000 0.000 Zn
0.500 0.500 0.500 Si
0.000 0.000 0.500 Te
0.500 0.500 0.000 Te
```